Record 1
Density functional theory data (PBE-GGA) for an optimized crystal structure of NaHg2Au2.

Properties
symmetry	P4/mbm
E above lowest polymorph	77	meV per atom
DOS(E_F)	2.96	states/eV per cell
E_tot	-17.9	eV/cell
energy relative to the elements	-96	meV per atom

Unit cell a=8.2944 b=8.2944 c=3.2104 alpha=90.00 beta=90.00 gamma=90.00
Closest atoms and distances in Å follow each position.
Fractional coordinates of all 10 atoms:
Na 0.0000 0.0000 0.0000  2 Na 3.21, 4 Hg 3.24, 8 Au 3.48
Na 0.5000 0.5000 0.0000  2 Na 3.21, 4 Hg 3.24, 8 Au 3.48
Hg 0.1320 0.3680 0.0000  6 Au 2.83-2.98, 1 Hg 3.10
Hg 0.3680 0.8680 0.0000  6 Au 2.83-2.98, 1 Hg 3.10
Hg 0.6320 0.1320 0.0000  6 Au 2.83-2.98, 1 Hg 3.10
Hg 0.8680 0.6320 0.0000  6 Au 2.83-2.98, 1 Hg 3.10
Au 0.1690 0.6690 0.5000  6 Hg 2.83-2.98
Au 0.3310 0.1690 0.5000  6 Hg 2.83-2.98
Au 0.6690 0.8310 0.5000  6 Hg 2.83-2.98
Au 0.8310 0.3310 0.5000  6 Hg 2.83-2.98

=====

Record 2
Density functional theory data (PBE-GGA) for an optimized crystal structure of ErPaCoIr.

Properties
symmetry	Amm2
E above lowest polymorph	0	meV per atom
DOS(E_F)	3.28	states/eV per cell
E_tot	-32.5	eV/cell
energy relative to the elements	-614	meV per atom

Unit cell a=4.1712 b=5.3522 c=5.3522 alpha=41.84 beta=90.00 gamma=90.00
Closest atoms and distances in Å follow each position.
Fractional coordinates of all 4 atoms:
Er 0.0000 0.0000 0.0000  3 Ir 2.81-2.91, 4 Co 2.84
Pa 0.5000 0.2896 0.2896  1 Co 2.39
Co 0.5000 0.5282 0.5282  1 Pa 2.39
Ir 0.0000 0.7188 0.7188  3 Er 2.81-2.91, 2 Co 2.83, 4 Pa 2.92

=====

Record 3
Density functional theory data (PBE-GGA) for an optimized crystal structure of NdSm3Th4Se8.

Properties
symmetry	R-3m
uncorrected formation energy	-1677	meV/atom
DOS(E_F)	5.31	states/eV per cell
E_tot	-103.3	eV/cell

Unit cell a=8.4934 b=8.4934 c=8.4934 alpha=58.35 beta=58.35 gamma=58.35
Closest atoms and distances in Å follow each position.
Fractional coordinates of all 16 atoms:
Nd 0.0000 0.0000 0.0000  6 Se 2.96
Sm 0.0000 0.5000 0.5000  6 Se 2.94
Sm 0.5000 0.0000 0.5000  6 Se 2.94
Sm 0.5000 0.5000 0.0000  6 Se 2.94
Th 0.0000 0.0000 0.5000  6 Se 2.99
Th 0.0000 0.5000 0.0000  6 Se 2.99
Th 0.5000 0.0000 0.0000  6 Se 2.99
Th 0.5000 0.5000 0.5000  6 Se 2.97
Se 0.2494 0.2494 0.7462  2 Sm 2.94, 1 Nd 2.96, 3 Th 2.97-2.99
Se 0.2494 0.7462 0.2494  2 Sm 2.94, 1 Nd 2.96, 3 Th 2.97-2.99
Se 0.2522 0.2522 0.2522  3 Sm 2.94, 3 Th 2.99
Se 0.2538 0.7506 0.7506  2 Sm 2.94, 1 Nd 2.96, 3 Th 2.97-2.99
Se 0.7462 0.2494 0.2494  2 Sm 2.94, 1 Nd 2.96, 3 Th 2.97-2.99
Se 0.7478 0.7478 0.7478  3 Sm 2.94, 3 Th 2.99
Se 0.7506 0.2538 0.7506  2 Sm 2.94, 1 Nd 2.96, 3 Th 2.97-2.99
Se 0.7506 0.7506 0.2538  2 Sm 2.94, 1 Nd 2.96, 3 Th 2.97-2.99

=====

Record 4
Density functional theory data (PBE-GGA) for an optimized crystal structure of CaSi2Br.

Properties
symmetry	Imm2
E above lowest polymorph	418	meV per atom
uncorrected formation energy	-258	meV/atom
DOS(E_F)	1.60	states/eV per cell
E_tot	-15.6	eV/cell

Unit cell a=5.6418 b=5.6418 c=5.6418 alpha=139.67 beta=110.32 gamma=83.71
Closest atoms and distances in Å follow each position.
Fractional coordinates of all 4 atoms:
Ca 0.0000 0.0000 0.0000  2 Br 2.84, 2 Si 3.11
Si 0.5688 0.5688 0.0000  2 Si 2.28
Si 0.7114 0.2114 0.5000  2 Si 2.28
Br 0.2468 0.7468 0.5000  2 Ca 2.84

=====

Record 5
Density functional theory data (PBE-GGA) for an optimized crystal structure of Pu2GeBRh6.

Properties
symmetry	Pmmn
DOS(E_F)	50.69	states/eV per cell
E_tot	-177.2	eV/cell
energy relative to the elements	-455	meV per atom

Unit cell a=5.6913 b=8.4673 c=7.0437 alpha=90.00 beta=90.00 gamma=90.00
Closest atoms and distances in Å follow each position.
Fractional coordinates of all 20 atoms:
Pu 0.2500 0.0290 0.2208  7 Rh 2.89-3.05
Pu 0.2500 0.4710 0.2208  7 Rh 2.89-3.05
Pu 0.7500 0.5290 0.7792  7 Rh 2.89-3.05
Pu 0.7500 0.9710 0.7792  7 Rh 2.89-3.05
Ge 0.2500 0.7500 0.8226  6 Rh 2.43-2.56
Ge 0.7500 0.2500 0.1774  6 Rh 2.43-2.56
B 0.2500 0.2500 0.6851  6 Rh 2.05-2.07
B 0.7500 0.7500 0.3149  6 Rh 2.05-2.07
Rh 0.0027 0.2500 0.8995  1 B 2.06
Rh 0.0117 0.7500 0.5146  1 B 2.05
Rh 0.2500 0.0068 0.6534  1 B 2.07
Rh 0.2500 0.4932 0.6534  1 B 2.07
Rh 0.4883 0.7500 0.5146  1 B 2.05
Rh 0.4973 0.2500 0.8995  1 B 2.06
Rh 0.5027 0.7500 0.1005  1 B 2.06
Rh 0.5117 0.2500 0.4854  1 B 2.05
Rh 0.7500 0.5068 0.3466  1 B 2.07
Rh 0.7500 0.9932 0.3466  1 B 2.07
Rh 0.9883 0.2500 0.4854  1 B 2.05
Rh 0.9973 0.7500 0.1005  1 B 2.06

=====

Record 6
Density functional theory data (PBE-GGA) for an optimized crystal structure of YBeO2.

Properties
symmetry	R-3m
uncorrected formation energy	-2543	meV/atom
DOS(E_F)	1.04	states/eV per cell
E_tot	-30.3	eV/cell

Unit cell a=5.3168 b=5.3168 c=5.3168 alpha=40.49 beta=40.49 gamma=40.49
Closest atoms and distances in Å follow each position.
Fractional coordinates of all 4 atoms:
Y 0.0000 0.0000 0.0000  6 O 2.33
Be 0.5000 0.5000 0.5000  2 O 1.49
O 0.3980 0.3980 0.3980  1 Be 1.49
O 0.6020 0.6020 0.6020  1 Be 1.49

=====

Record 7
Density functional theory data (PBE-GGA) for an optimized crystal structure of Ti3Bi2H.

Properties
symmetry	C2/c
E above lowest polymorph	25	meV per atom
DOS(E_F)	11.78	states/eV per cell
E_tot	-70.8	eV/cell

Unit cell a=7.5105 b=7.5105 c=7.2908 alpha=118.84 beta=118.84 gamma=42.19
Closest atoms and distances in Å follow each position.
Fractional coordinates of all 12 atoms:
Ti 0.1298 0.8702 0.7500  1 H 1.81
Ti 0.2719 0.5590 0.3180  1 H 1.79
Ti 0.4410 0.7281 0.1820  1 H 1.79
Ti 0.5590 0.2719 0.8180  1 H 1.79
Ti 0.7281 0.4410 0.6820  1 H 1.79
Ti 0.8702 0.1298 0.2500  1 H 1.81
Bi 0.0049 0.3101 0.1149  7 Ti 2.85-3.13, 1 H 3.19
Bi 0.3101 0.0049 0.6149  7 Ti 2.85-3.13, 1 H 3.19
Bi 0.6899 0.9951 0.3851  7 Ti 2.85-3.13, 1 H 3.19
Bi 0.9951 0.6899 0.8851  7 Ti 2.85-3.13, 1 H 3.19
H 0.4646 0.5354 0.7500  3 Ti 1.79-1.81
H 0.5354 0.4646 0.2500  3 Ti 1.79-1.81

=====

Record 8
Density functional theory data (PBE-GGA) for an optimized crystal structure of Pr2HoSc.

Properties
symmetry	R-3m
E above lowest polymorph	9	meV per atom
DOS(E_F)	4.44	states/eV per cell
E_tot	-20.3	eV/cell
energy relative to the elements	49	meV per atom

Unit cell a=11.5860 b=11.5860 c=11.5860 alpha=17.76 beta=17.76 gamma=17.76
Closest atoms and distances in Å follow each position.
Fractional coordinates of all 4 atoms:
Pr 0.2471 0.2471 0.2471  3 Sc 3.44, 6 Pr 3.58, 3 Ho 3.60
Pr 0.7529 0.7529 0.7529  3 Sc 3.44, 6 Pr 3.58, 3 Ho 3.60
Ho 0.0000 0.0000 0.0000  6 Ho 3.58, 6 Pr 3.60
Sc 0.5000 0.5000 0.5000  6 Pr 3.44, 6 Sc 3.58

=====

Record 9
Density functional theory data (PBE-GGA) for an optimized crystal structure of Ba3Tl2Pt.

Properties
symmetry	P2_1/m
DOS(E_F)	8.92	states/eV per cell
E_tot	-38.5	eV/cell
energy relative to the elements	-454	meV per atom

Unit cell a=6.0375 b=8.6476 c=9.5580 alpha=90.00 beta=108.13 gamma=90.00
Closest atoms and distances in Å follow each position.
Fractional coordinates of all 12 atoms:
Ba 0.0011 0.2500 0.0001  2 Pt 3.02
Ba 0.3676 0.0000 0.7321  2 Pt 3.25
Ba 0.3676 0.5000 0.7321  2 Pt 3.25
Ba 0.6324 0.0000 0.2679  2 Pt 3.25
Ba 0.6324 0.5000 0.2679  2 Pt 3.25
Ba 0.9989 0.7500 0.9999  2 Pt 3.02
Tl 0.1972 0.2500 0.3967  2 Tl 3.54-3.57, 7 Ba 3.60-3.90
Tl 0.1975 0.7500 0.3966  2 Tl 3.54-3.57, 7 Ba 3.60-3.90
Tl 0.8025 0.2500 0.6034  2 Tl 3.54-3.57, 7 Ba 3.60-3.90
Tl 0.8028 0.7500 0.6033  2 Tl 3.54-3.57, 7 Ba 3.60-3.90
Pt 0.4989 0.7500 0.0000  6 Ba 3.02-3.25
Pt 0.5011 0.2500 0.0000  6 Ba 3.02-3.25

=====

Record 10
Density functional theory data (PBE-GGA) for an optimized crystal structure of NpAsIr.

Properties
symmetry	I4mm
DOS(E_F)	5.41	states/eV per cell
E_tot	-25.5	eV/cell
energy relative to the elements	331	meV per atom

Unit cell a=7.2941 b=7.2941 c=7.2941 alpha=156.10 beta=156.10 gamma=34.06
Closest atoms and distances in Å follow each position.
Fractional coordinates of all 3 atoms:
Np 0.0000 0.0000 0.0000  1 Ir 2.67, 1 As 2.94
As 0.2110 0.2110 0.0000  4 Ir 2.53
Ir 0.8083 0.8083 0.0000  4 As 2.53, 1 Np 2.67

=====

Record 11
Density functional theory data (PBE-GGA) for an optimized crystal structure of La3PmPr8.

Properties
symmetry	I-42m
DOS(E_F)	18.14	states/eV per cell
E_tot	-51.8	eV/cell
energy relative to the elements	499	meV per atom

Unit cell a=8.6413 b=8.6413 c=8.6413 alpha=117.27 beta=117.27 gamma=94.81
Closest atoms and distances in Å follow each position.
Fractional coordinates of all 12 atoms:
La 0.0000 0.0000 0.0000  8 Pr 3.18-3.31
La 0.2500 0.7500 0.5000  4 Pr 3.58
La 0.7500 0.2500 0.5000  4 Pr 3.58
Pm 0.5000 0.5000 0.0000  8 Pr 3.18-3.30
Pr 0.1290 0.1290 0.7569  3 Pr 3.09-3.36, 1 Pm 3.30, 1 La 3.31
Pr 0.2487 0.7492 0.0000  1 La 3.18, 1 Pm 3.18, 2 Pr 3.34-3.36
Pr 0.2508 0.2508 0.4995  1 La 3.18, 1 Pm 3.18, 2 Pr 3.34-3.36
Pr 0.3722 0.3722 0.2431  3 Pr 3.09-3.36, 1 Pm 3.30, 1 La 3.31
Pr 0.6278 0.8710 0.0000  3 Pr 3.09-3.36, 1 Pm 3.30, 1 La 3.31
Pr 0.7492 0.2487 0.0000  1 La 3.18, 1 Pm 3.18, 2 Pr 3.34-3.36
Pr 0.7513 0.7513 0.5005  1 La 3.18, 1 Pm 3.18, 2 Pr 3.34-3.36
Pr 0.8710 0.6278 0.0000  3 Pr 3.09-3.36, 1 Pm 3.30, 1 La 3.31

=====

Record 12
Density functional theory data (PBE-GGA) for an optimized crystal structure of RbGaPb2Se.

Properties
symmetry	P4/mmm
uncorrected formation energy	920	meV/atom
DOS(E_F)	5.14	states/eV per cell
E_tot	-10.3	eV/cell

Unit cell a=6.2361 b=6.2361 c=5.8709 alpha=90.00 beta=90.00 gamma=90.00
Closest atoms and distances in Å follow each position.
Fractional coordinates of all 5 atoms:
Rb 0.0000 0.0000 0.0000  2 Se 2.94, 4 Pb 3.12
Ga 0.5000 0.5000 0.5000  8 Pb 4.28, 4 Se 4.41
Pb 0.0000 0.5000 0.0000  2 Rb 3.12
Pb 0.5000 0.0000 0.0000  2 Rb 3.12
Se 0.0000 0.0000 0.5000  2 Rb 2.94

=====

no.,total moment (μB/f.u.)
1,0.00
2,0.00
3,0.00
4,0.00
5,8.66
6,0.72
7,0.00
8,0.00
9,0.00
10,4.38
11,0.00
12,0.00